# LaAs2Pt GGA-PBE relaxed
# Size of the total moment = 0.00 μB per formula unit
# Calculated formation energy = -478 meV/atom
data_LaAs2Pt
_cell_length_a 7.028
_cell_length_b 7.028
_cell_length_c 7.028
_cell_angle_alpha 90.00
_cell_angle_beta 90.00
_cell_angle_gamma 90.00
_space_group_name_H-M_alt 'F -4 3 m'
_space_group_IT_number 216
_space_group_name_Hall 'F -4 2 3'
loop_
_atom_site_label
_atom_site_type_symbol
_atom_site_fract_x
_atom_site_fract_y
_atom_site_fract_z
La1 La 0.000 0.000 0.000
As1 As 0.000 0.000 0.500
As2 As 0.250 0.250 0.750
Pt1 Pt 0.250 0.250 0.250